# TcSbAu2O

An optimized crystal structure of TcSbAu2O (PBEsol, Alexandria via LeMat-Bulk).

Computed properties:
formation energy from raw total energies: 1.65 eV per atom

a b c (Å): 5.040 5.040 5.319
angles (deg): 90.00 90.00 90.00
Space group P4/mmm (No. 123)
Inequivalent atoms, fractional coordinates:
Tc (0.000, 0.000, 0.000) x1
Sb (0.000, 0.000, 0.500) x1
Au (0.000, 0.500, 0.500) x2
O (0.500, 0.500, 0.000) x1